LaTmPb | PBE-GGA | optimized geometry

a = 11.2660 Å, b = 11.9639 Å, c = 3.4788 Å
α = 90.00°, β = 90.00°, γ = 90.00°
Fractional positions:
La 0.0000 0.2332 0.0000
La 0.0000 0.7668 0.0000
La 0.5000 0.2668 0.0000
La 0.5000 0.7332 0.0000
Tm 0.0000 0.0000 0.5000
Tm 0.0000 0.5000 0.0000
Tm 0.5000 0.0000 0.0000
Tm 0.5000 0.5000 0.5000
Pb 0.2349 0.5000 0.5000
Pb 0.2651 0.0000 0.5000
Pb 0.7349 0.0000 0.5000
Pb 0.7651 0.5000 0.5000

ΔH_f (0 K): 0.297 eV/atom
Crystal system: orthorhombic
SG: Cmmm (65)

La14TmPb | PBE-GGA | optimized geometry

a = 7.3319 Å, b = 7.3319 Å, c = 10.4490 Å
α = 90.00°, β = 90.00°, γ = 90.00°
Fractional positions:
La 0.0000 0.0000 0.0000
La 0.0000 0.5000 0.0000
La 0.0000 0.5000 0.5000
La 0.2463 0.2463 0.2553
La 0.2463 0.2463 0.7447
La 0.2463 0.7537 0.2553
La 0.2463 0.7537 0.7447
La 0.5000 0.0000 0.0000
La 0.5000 0.0000 0.5000
La 0.5000 0.5000 0.0000
La 0.7537 0.2463 0.2553
La 0.7537 0.2463 0.7447
La 0.7537 0.7537 0.2553
La 0.7537 0.7537 0.7447
Tm 0.5000 0.5000 0.5000
Pb 0.0000 0.0000 0.5000

ΔH_f (0 K): -0.077 eV/atom
Crystal system: tetragonal
SG: P4/mmm (123)

La2TmPb2 | PBE-GGA | optimized geometry

a = 9.7881 Å, b = 9.7881 Å, c = 6.7226 Å
α = 90.00°, β = 90.00°, γ = 149.12°
Fractional positions:
La 0.0000 0.0000 0.0000
La 0.0000 0.0000 0.5000
La 0.1961 0.8039 0.7500
La 0.8039 0.1961 0.2500
Tm 0.3988 0.6012 0.7500
Tm 0.6012 0.3988 0.2500
Pb 0.1831 0.8169 0.2500
Pb 0.4229 0.5771 0.2500
Pb 0.5771 0.4229 0.7500
Pb 0.8169 0.1831 0.7500

ΔH_f (0 K): -0.504 eV/atom
Crystal system: orthorhombic
Distance to the lowest polymorph of the same formula: 0.0486 eV/atom
SG: Cmcm (63)

La2TmPb2 | PBE-GGA | optimized geometry

a = 8.2907 Å, b = 8.2907 Å, c = 4.7587 Å
α = 90.00°, β = 90.00°, γ = 90.00°
Fractional positions:
La 0.1698 0.3302 0.0000
La 0.3302 0.8302 0.0000
La 0.6698 0.1698 0.0000
La 0.8302 0.6698 0.0000
Tm 0.0000 0.0000 0.5000
Tm 0.5000 0.5000 0.5000
Pb 0.1357 0.6357 0.5000
Pb 0.3643 0.1357 0.5000
Pb 0.6357 0.8643 0.5000
Pb 0.8643 0.3643 0.5000

ΔH_f (0 K): -0.552 eV/atom
Crystal system: tetragonal
Distance to the lowest polymorph of the same formula: 0.0000 eV/atom
SG: P4/mbm (127)

La3Tm2Pb4 | PBE-GGA | optimized geometry

a = 7.3234 Å, b = 7.3234 Å, c = 10.1374 Å
α = 115.25°, β = 115.25°, γ = 37.73°
Fractional positions:
La 0.0000 0.0000 0.0000
La 0.3754 0.3754 0.3014
La 0.6246 0.6246 0.6986
Tm 0.3172 0.3172 0.6473
Tm 0.6828 0.6828 0.3527
Pb 0.0699 0.0699 0.4062
Pb 0.3013 0.3013 0.9374
Pb 0.6987 0.6987 0.0626
Pb 0.9301 0.9301 0.5938

ΔH_f (0 K): -0.469 eV/atom
Crystal system: monoclinic
Distance to the lowest polymorph of the same formula: 0.0350 eV/atom
SG: C2/m (12)

La5TmPb5 | PBE-GGA | optimized geometry

a = 9.3813 Å, b = 9.3813 Å, c = 7.3809 Å
α = 106.03°, β = 106.03°, γ = 38.36°
Fractional positions:
La 0.0000 0.0000 0.0000
La 0.3194 0.3194 0.2342
La 0.3374 0.3374 0.7360
La 0.6626 0.6626 0.2640
La 0.6806 0.6806 0.7658
Tm 0.0000 0.0000 0.5000
Pb 0.1591 0.1591 0.8872
Pb 0.1615 0.1615 0.4184
Pb 0.5000 0.5000 0.5000
Pb 0.8385 0.8385 0.5816
Pb 0.8409 0.8409 0.1128

ΔH_f (0 K): -0.384 eV/atom
Crystal system: monoclinic
SG: C2/m (12)

La3Tm2Pb3 | PBE-GGA | optimized geometry

a = 9.3836 Å, b = 9.3836 Å, c = 6.7552 Å
α = 90.00°, β = 90.00°, γ = 120.00°
Fractional positions:
La 0.0000 0.2435 0.2500
La 0.0000 0.7565 0.7500
La 0.2435 0.0000 0.2500
La 0.2435 0.2435 0.7500
La 0.7565 0.0000 0.7500
La 0.7565 0.7565 0.2500
Tm 0.3333 0.6667 0.0000
Tm 0.3333 0.6667 0.5000
Tm 0.6667 0.3333 0.0000
Tm 0.6667 0.3333 0.5000
Pb 0.0000 0.3985 0.7500
Pb 0.0000 0.6015 0.2500
Pb 0.3985 0.0000 0.7500
Pb 0.3985 0.3985 0.2500
Pb 0.6015 0.0000 0.2500
Pb 0.6015 0.6015 0.7500

ΔH_f (0 K): -0.531 eV/atom
Crystal system: hexagonal
SG: P6_3/mcm (193)

LaTm4Pb5 | PBE-GGA | optimized geometry

a = 7.7269 Å, b = 7.7269 Å, c = 7.7269 Å
α = 99.62°, β = 99.62°, γ = 131.73°
Fractional positions:
La 0.0000 0.0000 0.0000
Tm 0.2087 0.3933 0.5986
Tm 0.3933 0.7947 0.1846
Tm 0.6101 0.2087 0.8154
Tm 0.7947 0.6101 0.4014
Pb 0.0984 0.6868 0.7816
Pb 0.3168 0.0984 0.4116
Pb 0.4999 0.4999 0.0000
Pb 0.6868 0.9052 0.5884
Pb 0.9052 0.3168 0.2184

ΔH_f (0 K): -0.289 eV/atom
Crystal system: tetragonal
Distance to the lowest polymorph of the same formula: 0.1226 eV/atom
SG: I4 (79)

LaTmPb | PBE-GGA | optimized geometry

a = 4.7200 Å, b = 4.7200 Å, c = 17.4325 Å
α = 90.00°, β = 90.00°, γ = 90.00°
Fractional positions:
La 0.0000 0.0000 0.1760
La 0.0000 0.0000 0.8240
La 0.5000 0.5000 0.3240
La 0.5000 0.5000 0.6760
Tm 0.0000 0.5000 0.0000
Tm 0.0000 0.5000 0.5000
Tm 0.5000 0.0000 0.0000
Tm 0.5000 0.0000 0.5000
Pb 0.0000 0.0000 0.3713
Pb 0.0000 0.0000 0.6287
Pb 0.5000 0.5000 0.1287
Pb 0.5000 0.5000 0.8713

ΔH_f (0 K): -0.485 eV/atom
Crystal system: tetragonal
SG: I4/mmm (139)

La3Tm2Pb4 | PBE-GGA | optimized geometry

a = 8.6651 Å, b = 8.6651 Å, c = 7.1209 Å
α = 104.30°, β = 104.30°, γ = 34.66°
Fractional positions:
La 0.0000 0.0000 0.0000
La 0.1252 0.1252 0.5795
La 0.8748 0.8748 0.4205
Tm 0.3363 0.3363 0.9344
Tm 0.6637 0.6637 0.0656
Pb 0.2355 0.2355 0.2528
Pb 0.4946 0.4946 0.7136
Pb 0.5054 0.5054 0.2864
Pb 0.7645 0.7645 0.7472

ΔH_f (0 K): -0.504 eV/atom
Crystal system: monoclinic
Distance to the lowest polymorph of the same formula: 0.0000 eV/atom
SG: C2/m (12)

La9TmPb2 | PBE-GGA | optimized geometry

a = 5.0955 Å, b = 5.0955 Å, c = 15.5168 Å
α = 90.00°, β = 90.00°, γ = 90.00°
Fractional positions:
La 0.0000 0.0000 0.0000
La 0.0000 0.0000 0.3356
La 0.0000 0.0000 0.6644
La 0.0000 0.5000 0.1704
La 0.0000 0.5000 0.5000
La 0.0000 0.5000 0.8296
La 0.5000 0.0000 0.1704
La 0.5000 0.0000 0.5000
La 0.5000 0.0000 0.8296
Tm 0.5000 0.5000 0.0000
Pb 0.5000 0.5000 0.3364
Pb 0.5000 0.5000 0.6636

ΔH_f (0 K): -0.237 eV/atom
Crystal system: tetragonal
SG: P4/mmm (123)

La2Tm2Pb | PBE-GGA | optimized geometry

a = 6.7513 Å, b = 6.7513 Å, c = 9.8102 Å
α = 104.26°, β = 104.26°, γ = 48.60°
Fractional positions:
La 0.0299 0.0299 0.3414
La 0.1632 0.1632 0.0435
La 0.8368 0.8368 0.9565
La 0.9701 0.9701 0.6586
Tm 0.3594 0.3594 0.4321
Tm 0.4874 0.4874 0.1568
Tm 0.5126 0.5126 0.8432
Tm 0.6406 0.6406 0.5679
Pb 0.2524 0.2524 0.7123
Pb 0.7476 0.7476 0.2877

ΔH_f (0 K): -0.169 eV/atom
Crystal system: monoclinic
SG: C2/m (12)

La4TmPb2 | PBE-GGA | optimized geometry

a = 7.0009 Å, b = 9.0617 Å, c = 9.1006 Å
α = 78.96°, β = 67.58°, γ = 67.52°
Fractional positions:
La 0.1733 0.3430 0.3101
La 0.1753 0.8094 0.8414
La 0.2313 0.7646 0.2645
La 0.2626 0.2356 0.7361
La 0.7374 0.7644 0.2639
La 0.7687 0.2354 0.7355
La 0.8247 0.1906 0.1586
La 0.8267 0.6570 0.6899
Tm 0.2732 0.9767 0.4770
Tm 0.7268 0.0233 0.5230
Pb 0.0000 0.5000 0.0000
Pb 0.5000 0.0000 0.0000
Pb 0.5000 0.5000 0.0000
Pb 0.5000 0.5000 0.5000

ΔH_f (0 K): -0.108 eV/atom
Crystal system: triclinic
SG: P-1 (2)

LaTm5Pb5 | PBE-GGA | optimized geometry

a = 8.3376 Å, b = 8.3376 Å, c = 7.4856 Å
α = 101.75°, β = 101.75°, γ = 44.43°
Fractional positions:
La 0.0000 0.0000 0.0000
Tm 0.0000 0.0000 0.5000
Tm 0.3306 0.3306 0.1523
Tm 0.3532 0.3532 0.6525
Tm 0.6468 0.6468 0.3475
Tm 0.6694 0.6694 0.8477
Pb 0.1719 0.1719 0.3525
Pb 0.1739 0.1739 0.8031
Pb 0.5000 0.5000 0.0000
Pb 0.8261 0.8261 0.1969
Pb 0.8281 0.8281 0.6475

ΔH_f (0 K): -0.226 eV/atom
Crystal system: monoclinic
SG: C2/m (12)

LaTm2Pb3 | PBE-GGA | optimized geometry

a = 4.8953 Å, b = 10.1104 Å, c = 7.3486 Å
α = 90.00°, β = 90.00°, γ = 90.00°
Fractional positions:
La 0.0000 0.0778 0.0000
La 0.0000 0.9222 0.5000
Tm 0.0000 0.2853 0.4999
Tm 0.0000 0.7147 0.9999
Tm 0.5000 0.4981 0.2454
Tm 0.5000 0.5019 0.7454
Pb 0.0000 0.4070 0.9940
Pb 0.0000 0.5930 0.4940
Pb 0.5000 0.1592 0.2881
Pb 0.5000 0.1591 0.7120
Pb 0.5000 0.8409 0.2120
Pb 0.5000 0.8408 0.7881

ΔH_f (0 K): -0.463 eV/atom
Crystal system: orthorhombic
Distance to the lowest polymorph of the same formula: 0.0000 eV/atom
SG: Pmc2_1 (26)

La8Tm2Pb | PBE-GGA | optimized geometry

a = 9.7099 Å, b = 9.7099 Å, c = 8.2744 Å
α = 105.39°, β = 105.39°, γ = 30.14°
Fractional positions:
La 0.0451 0.0451 0.2354
La 0.1373 0.1373 0.6811
La 0.3243 0.3243 0.5923
La 0.4075 0.4075 0.0509
La 0.5925 0.5925 0.9491
La 0.6757 0.6757 0.4077
La 0.8627 0.8627 0.3189
La 0.9549 0.9549 0.7646
Tm 0.2267 0.2267 0.1322
Tm 0.7733 0.7733 0.8678
Pb 0.5000 0.5000 0.5000

ΔH_f (0 K): -0.096 eV/atom
Crystal system: monoclinic
SG: C2/m (12)

La5Tm4Pb4 | PBE-GGA | optimized geometry

a = 9.8054 Å, b = 9.8054 Å, c = 9.8054 Å
α = 93.28°, β = 93.28°, γ = 152.32°
Fractional positions:
La 0.0000 0.0000 0.0000
La 0.2942 0.6213 0.9155
La 0.3787 0.2942 0.6729
La 0.6213 0.7058 0.3271
La 0.7058 0.3787 0.0845
Tm 0.0930 0.4102 0.5032
Tm 0.4102 0.9070 0.3172
Tm 0.5898 0.0930 0.6828
Tm 0.9070 0.5898 0.4968
Pb 0.0742 0.7600 0.8342
Pb 0.2400 0.0742 0.3141
Pb 0.7600 0.9258 0.6859
Pb 0.9258 0.2400 0.1658

ΔH_f (0 K): -0.419 eV/atom
Crystal system: tetragonal
SG: I4/m (87)

LaTmZnPb | PBE-GGA | optimized geometry

a = 7.5696 Å, b = 7.5696 Å, c = 7.5696 Å
α = 90.00°, β = 90.00°, γ = 90.00°
Fractional positions:
La 0.0000 0.0000 0.0000
La 0.0000 0.5000 0.5000
La 0.5000 0.0000 0.5000
La 0.5000 0.5000 0.0000
Tm 0.0000 0.0000 0.5000
Tm 0.0000 0.5000 0.0000
Tm 0.5000 0.0000 0.0000
Tm 0.5000 0.5000 0.5000
Zn 0.2500 0.2500 0.2500
Zn 0.2500 0.7500 0.7500
Zn 0.7500 0.2500 0.7500
Zn 0.7500 0.7500 0.2500
Pb 0.2500 0.2500 0.7500
Pb 0.2500 0.7500 0.2500
Pb 0.7500 0.2500 0.2500
Pb 0.7500 0.7500 0.7500

ΔH_f (0 K): -0.380 eV/atom
Crystal system: cubic
SG: F-43m (216)

La3VPb | PBE-GGA | optimized geometry

a = 5.3682 Å, b = 5.3682 Å, c = 5.3682 Å
α = 90.00°, β = 90.00°, γ = 90.00°
Fractional positions:
La 0.0000 0.0000 0.5000
La 0.0000 0.5000 0.0000
La 0.5000 0.0000 0.0000
V 0.0000 0.0000 0.0000
Pb 0.5000 0.5000 0.5000

ΔH_f (0 K): 0.069 eV/atom
Crystal system: cubic
Distance to the lowest polymorph of the same formula: 0.0000 eV/atom
SG: Pm-3m (221)

LaV2Pb2 | PBE-GGA | optimized geometry

a = 4.2056 Å, b = 4.2056 Å, c = 13.3823 Å
α = 90.00°, β = 90.00°, γ = 90.00°
Fractional positions:
La 0.0000 0.0000 0.0000
La 0.5000 0.5000 0.5000
V 0.0000 0.5000 0.2500
V 0.0000 0.5000 0.7500
V 0.5000 0.0000 0.2500
V 0.5000 0.0000 0.7500
Pb 0.0000 0.0000 0.3835
Pb 0.0000 0.0000 0.6165
Pb 0.5000 0.5000 0.1165
Pb 0.5000 0.5000 0.8835

ΔH_f (0 K): 0.137 eV/atom
Crystal system: tetragonal
SG: I4/mmm (139)